An optimized crystal structure of Ga2Ni17, computed with GGA-PBE.

Structure (CIF):
```
data_Ga2Ni17
_space_group_name_H-M_alt 'R -3 m'
_space_group_IT_number 166
_space_group_name_Hall '-R 3 2"'
_cell_length_a 8.0110
_cell_length_b 8.0110
_cell_length_c 12.2418
_cell_angle_alpha 90.00
_cell_angle_beta 90.00
_cell_angle_gamma 120.00
loop_
_atom_site_label
_atom_site_type_symbol
_atom_site_fract_x
_atom_site_fract_y
_atom_site_fract_z
Ga1 Ga 0.0000 0.0000 0.1787
Ni1 Ni 0.0000 0.0000 0.4029
Ni2 Ni 0.0000 0.3167 0.5000
Ni3 Ni 0.0000 0.5000 0.0000
Ni4 Ni 0.0044 0.5022 0.6589
```

ΔH_f (0 K) = 1.89 eV per formula unit


An optimized crystal structure of Li5Ca4Ni2, computed with GGA-PBE.

Structure (CIF):
```
data_Li5Ca4Ni2
_space_group_name_H-M_alt 'P 1 2/m 1'
_space_group_IT_number 10
_space_group_name_Hall '-P 2y'
_cell_length_a 7.600
_cell_length_b 4.036
_cell_length_c 9.132
_cell_angle_alpha 90.00
_cell_angle_beta 94.10
_cell_angle_gamma 90.00
loop_
_atom_site_label
_atom_site_type_symbol
_atom_site_fract_x
_atom_site_fract_y
_atom_site_fract_z
Li1 Li 0.000 0.000 0.000
Li2 Li 0.061 0.000 0.333
Li3 Li 0.338 0.000 0.850
Ca1 Ca 0.284 0.500 0.568
Ca2 Ca 0.320 0.500 0.162
Ni1 Ni 0.435 0.000 0.378
```

ΔH_f (0 K) = -0.14 eV per formula unit


These records have calculated density values of 8.327; 1.857 g cm⁻³, in the order they appear.
These records have uncorrected energy values of -5.39; -2.66 eV per atom, in the order they appear.